# NbPdPb

NbPdPb after structural relaxation (GGA-PBE, OQMD via LeMat-Bulk).

As for the space group: Pnma. Its energy is -18.8 eV/f.u. The volume is 229 Å³/cell. The calculation puts the magnetization at 0.011 μB/atom.

Lattice parameters (Å, degrees): 5.9414 4.6893 8.2043 90.00 90.00 90.00
Closest atoms and distances in Å follow each position.
Positions (direct):
Nb 0.0072 0.2500 0.2499  2 Nb 2.97, 6 Pd 3.03-3.22, 6 Pb 3.05-3.17
Nb 0.4928 0.7500 0.7499  2 Nb 2.97, 6 Pd 3.03-3.22, 6 Pb 3.05-3.17
Nb 0.5072 0.2500 0.2501  2 Nb 2.97, 6 Pd 3.03-3.22, 6 Pb 3.05-3.17
Nb 0.9928 0.7500 0.7501  2 Nb 2.97, 6 Pd 3.03-3.22, 6 Pb 3.05-3.17
Pd 0.2244 0.2500 0.5847  5 Pb 2.73-3.04, 3 Nb 3.03-3.04
Pd 0.2756 0.7500 0.0847  5 Pb 2.73-3.04, 3 Nb 3.03-3.04
Pd 0.7244 0.2500 0.9153  5 Pb 2.73-3.04, 3 Nb 3.03-3.04
Pd 0.7756 0.7500 0.4153  5 Pb 2.73-3.04, 3 Nb 3.03-3.04
Pb 0.2355 0.2500 0.9175  5 Pd 2.73-3.04, 1 Nb 3.05
Pb 0.2645 0.7500 0.4175  5 Pd 2.73-3.04, 1 Nb 3.05
Pb 0.7355 0.2500 0.5825  5 Pd 2.73-3.04, 1 Nb 3.05
Pb 0.7645 0.7500 0.0825  5 Pd 2.73-3.04, 1 Nb 3.05

# HfZnFeAg

HfZnFeAg after structural relaxation (GGA-PBE, OQMD via LeMat-Bulk).

As for the space group: F-43m. The volume is 64 Å³/cell. The value obtained for the polymorph energy (0 for the lowest one) is 0.0 kJ/mol of atoms. The energy of formation from the pure elements comes out at 0.08 eV per atom. The calculation puts the magnetization at 0.304 μB/atom.

Lattice parameters (Å, degrees): 4.4948 4.4948 4.4948 60.00 60.00 60.00
Closest atoms and distances in Å follow each position.
Positions (direct):
Hf 0.0000 0.0000 0.0000  4 Fe 2.75, 4 Ag 2.75
Zn 0.5000 0.5000 0.5000  4 Fe 2.75, 4 Ag 2.75
Fe 0.7500 0.7500 0.7500  4 Hf 2.75, 4 Zn 2.75
Ag 0.2500 0.2500 0.2500  4 Hf 2.75, 4 Zn 2.75

# CoAgMoPb

CoAgMoPb after structural relaxation (GGA-PBE, OQMD via LeMat-Bulk).

As for the space group: F-43m. The volume is 69 Å³/cell. The value obtained for the polymorph energy (0 for the lowest one) is 0.0 kJ/mol of atoms. The calculation puts the magnetization at 0.625 μB/atom.

Lattice parameters (Å, degrees): 4.5984 4.5984 4.5984 60.00 60.00 60.00
Closest atoms and distances in Å follow each position.
Positions (direct):
Co 0.0000 0.0000 0.0000  4 Pb 2.82, 4 Ag 2.82
Ag 0.2500 0.2500 0.2500  4 Mo 2.82, 4 Co 2.82
Mo 0.5000 0.5000 0.5000  4 Pb 2.82, 4 Ag 2.82
Pb 0.7500 0.7500 0.7500  4 Mo 2.82, 4 Co 2.82

# PtW3C

PtW3C after structural relaxation (GGA-PBE, OQMD via LeMat-Bulk).

As for the space group: Pm-3m. Its energy is -53.8 eV/f.u. The volume is 71 Å³/cell. The calculation puts the magnetization at 0.002 μB/atom.

Lattice parameters (Å, degrees): 4.1428 4.1428 4.1428 90.00 90.00 90.00
Closest atoms and distances in Å follow each position.
Positions (direct):
Pt 0.0000 0.0000 0.0000  12 W 2.93
W 0.0000 0.5000 0.5000  2 C 2.07
W 0.5000 0.0000 0.5000  2 C 2.07
W 0.5000 0.5000 0.0000  2 C 2.07
C 0.5000 0.5000 0.5000  6 W 2.07

# HfBNO

HfBNO after structural relaxation (GGA-PBE, OQMD via LeMat-Bulk).

As for the space group: P4/nmm. The volume is 77 Å³/cell. The value obtained for the polymorph energy (0 for the lowest one) is 43.4 kJ/mol of atoms. The calculation puts the magnetization at 0.001 μB/atom.

Lattice parameters (Å, degrees): 3.5221 3.5221 6.2242 90.00 90.00 90.00
Closest atoms and distances in Å follow each position.
Positions (direct):
Hf 0.2500 0.2500 0.1944  1 N 2.10, 4 O 2.14
Hf 0.7500 0.7500 0.8056  1 N 2.10, 4 O 2.14
B 0.2500 0.7500 0.5000  4 N 1.77
B 0.7500 0.2500 0.5000  4 N 1.77
N 0.2500 0.2500 0.5325  4 B 1.77
N 0.7500 0.7500 0.4675  4 B 1.77
O 0.2500 0.7500 0.0000  4 Hf 2.14
O 0.7500 0.2500 0.0000  4 Hf 2.14

# Re2Tc2O5

Re2Tc2O5 after structural relaxation (GGA-PBE, OQMD via LeMat-Bulk).

As for the space group: P4/mmm. The volume is 92 Å³/cell. The value obtained for the polymorph energy (0 for the lowest one) is 0.0 kJ/mol of atoms. The calculation puts the magnetization at 0.033 μB/atom.

Lattice parameters (Å, degrees): 3.2304 3.2304 8.8051 90.00 90.00 90.00
Closest atoms and distances in Å follow each position.
Positions (direct):
Re 0.0000 0.0000 0.1701  4 O 2.03
Re 0.0000 0.0000 0.8299  4 O 2.03
Tc 0.5000 0.5000 0.0000  8 Re 2.73
Tc 0.5000 0.5000 0.5000  12 O 2.28-2.33
O 0.0000 0.0000 0.5000  4 Tc 2.28, 8 O 2.33
O 0.0000 0.5000 0.3089  2 Re 2.03
O 0.0000 0.5000 0.6911  2 Re 2.03
O 0.5000 0.0000 0.3089  2 Re 2.03
O 0.5000 0.0000 0.6911  2 Re 2.03